[1]
# P3Cl

A geometry-optimized P3Cl structure (PBE-GGA, the Alexandria database).

Calculated values
As for the space group: No. 225. The energy relative to the elements, uncorrected is 0.827 eV/atom.

Lattice parameters (Å, degrees): 6.3198 6.3198 6.3198 90.00 90.00 90.00
Positions (direct):
P1 0.0000 0.0000 0.0000
P2 0.0000 0.5000 0.5000
P3 0.2500 0.2500 0.2500
P4 0.2500 0.2500 0.7500
P5 0.2500 0.7500 0.2500
P6 0.2500 0.7500 0.7500
P7 0.5000 0.0000 0.5000
P8 0.5000 0.5000 0.0000
P9 0.7500 0.2500 0.2500
P10 0.7500 0.2500 0.7500
P11 0.7500 0.7500 0.2500
P12 0.7500 0.7500 0.7500
Cl1 0.0000 0.0000 0.5000
Cl2 0.0000 0.5000 0.0000
Cl3 0.5000 0.0000 0.0000
Cl4 0.5000 0.5000 0.5000


[2]
# Ba3Mg8Ag

A geometry-optimized Ba3Mg8Ag structure (PBE-GGA, the Alexandria database).

Calculated values
The energy relative to the elements comes out at -15 meV per atom. As for the space group: No. 160.

Lattice parameters (Å, degrees): 11.1437 11.1437 11.1437 33.55 33.55 33.55
Positions (direct):
Ba1 0.0000 0.0000 0.0000
Ba2 0.1285 0.1285 0.1285
Ba3 0.6187 0.6187 0.6187
Mg1 0.0610 0.0610 0.5599
Mg2 0.0610 0.5599 0.0610
Mg3 0.0710 0.5635 0.5635
Mg4 0.3125 0.3125 0.3125
Mg5 0.5599 0.0610 0.0610
Mg6 0.5635 0.0710 0.5635
Mg7 0.5635 0.5635 0.0710
Mg8 0.8137 0.8137 0.8137
Ag1 0.4768 0.4768 0.4768


[3]
# CdGa2Pt

A geometry-optimized CdGa2Pt structure (PBE-GGA, the Alexandria database).

Calculated values
The energy relative to the elements comes out at 34 meV per atom. As for the space group: No. 122.

Lattice parameters (Å, degrees): 5.9666 5.9666 12.0796 90.00 90.00 90.00
Positions (direct):
Cd1 0.0000 0.0000 0.0000
Cd2 0.0000 0.5000 0.2500
Cd3 0.5000 0.0000 0.7500
Cd4 0.5000 0.5000 0.5000
Ga1 0.1942 0.2500 0.6250
Ga2 0.2500 0.6942 0.8750
Ga3 0.2500 0.8058 0.3750
Ga4 0.3058 0.2500 0.1250
Ga5 0.6942 0.7500 0.1250
Ga6 0.7500 0.1942 0.3750
Ga7 0.7500 0.3058 0.8750
Ga8 0.8058 0.7500 0.6250
Pt1 0.0000 0.0000 0.5000
Pt2 0.0000 0.5000 0.7500
Pt3 0.5000 0.0000 0.2500
Pt4 0.5000 0.5000 0.0000


[4]
# YErGaFe

A geometry-optimized YErGaFe structure (PBE-GGA, the Alexandria database).

Calculated values
The energy relative to the elements comes out at -196 meV per atom. As for the space group: No. 216.

Lattice parameters (Å, degrees): 6.9594 6.9594 6.9594 90.00 90.00 90.00
Positions (direct):
Y1 0.0000 0.0000 0.0000
Y2 0.0000 0.5000 0.5000
Y3 0.5000 0.0000 0.5000
Y4 0.5000 0.5000 0.0000
Er1 0.0000 0.0000 0.5000
Er2 0.0000 0.5000 0.0000
Er3 0.5000 0.0000 0.0000
Er4 0.5000 0.5000 0.5000
Ga1 0.2500 0.2500 0.2500
Ga2 0.2500 0.7500 0.7500
Ga3 0.7500 0.2500 0.7500
Ga4 0.7500 0.7500 0.2500
Fe1 0.2500 0.2500 0.7500
Fe2 0.2500 0.7500 0.2500
Fe3 0.7500 0.2500 0.2500
Fe4 0.7500 0.7500 0.7500


| no. | electronic total energy (eV per cell) | magnetization (μB per cell) | N(E_F) (states/eV per cell) |
| --- | --- | --- | --- |
| 1 | -59.07 | 0.0 | 12.36 |
| 2 | -21.56 | 0.0 | 10.77 |
| 3 | -51.49 | 0.0 | 7.02 |
| 4 | -93.20 | 5.4 | 18.56 |